(1)
Li6AcCd2 (PBE-GGA, relaxed); space group = P4/mmm
1.0
4.450 0.000 0.000
0.000 4.450 0.000
0.000 0.000 10.670
Li Cd Ac
6 2 1
direct
0.500 0.000 0.691
0.000 0.000 0.500
0.000 0.500 0.309
0.000 0.500 0.691
0.500 0.500 0.500
0.500 0.000 0.309
0.500 0.500 0.852
0.500 0.500 0.148
0.000 0.000 0.000

=====

(2)
Li6AcCd2 (PBE-GGA, relaxed); space group = C2/m
1.0
-3.368 -3.748 -0.784
1.425 -3.305 -6.854
3.772 -6.381 -2.233
Li Cd Ac
6 2 1
direct
0.298 0.943 0.461
0.500 0.693 0.307
0.702 0.057 0.539
0.500 0.307 0.693
0.702 0.539 0.057
0.298 0.461 0.943
0.881 0.617 0.617
0.119 0.383 0.383
0.000 0.000 0.000

=====

On energetic grounds, (1) is preferred over the next structure by 0.069 eV/atom.

=====

(1)
LiAc2Cd5 (PBE-GGA, relaxed); space group = Cmcm
1.0
-3.415 3.493 0.601
0.498 -4.398 8.243
7.187 6.506 3.037
Ac Cd Li
4 10 2
direct
0.000 0.000 0.500
0.000 0.000 0.000
0.200 0.400 0.250
0.800 0.600 0.750
0.812 0.623 0.105
0.188 0.377 0.605
0.643 0.287 0.471
0.406 0.813 0.250
0.812 0.623 0.395
0.643 0.287 0.029
0.357 0.713 0.971
0.357 0.713 0.529
0.594 0.187 0.750
0.188 0.377 0.895
0.556 0.112 0.250
0.444 0.888 0.750

=====

(2)
LiAc2Cd5 (PBE-GGA, relaxed); space group = I4/mmm
1.0
-4.391 0.794 2.825
-2.555 -3.534 -2.979
5.613 -4.332 5.006
Cd Li Ac
5 1 2
direct
0.500 0.500 0.000
0.399 0.899 0.798
0.601 0.101 0.202
0.101 0.601 0.202
0.899 0.399 0.798
0.000 0.000 0.000
0.744 0.744 0.488
0.256 0.256 0.512

=====

On energetic grounds, (1) is preferred over the next structure by 0.045 eV/atom.

=====

(1)
AcLuCd2 (PBE-GGA, relaxed); space group = Fm-3m
1.0
5.517 0.000 0.000
2.758 4.778 0.000
2.758 1.593 4.504
Ac Cd Lu
1 2 1
direct
0.500 0.500 0.500
0.250 0.250 0.250
0.750 0.750 0.750
0.000 0.000 0.000

=====

(2)
AcLuCd2 (PBE-GGA, relaxed); space group = P4/mmm
1.0
3.797 0.000 0.000
0.000 3.797 0.000
0.000 0.000 8.049
Cd Ac Lu
2 1 1
direct
0.000 0.000 0.790
0.000 0.000 0.210
0.500 0.500 0.500
0.500 0.500 0.000

=====

On energetic grounds, (2) is preferred over the next structure by 0.032 eV/atom.

=====

(1)
AcLu2Cd (PBE-GGA, relaxed); space group = P4/mmm
1.0
-2.778 -0.161 -2.425
-1.785 -2.363 2.202
-4.053 6.957 4.181
Lu Ac Cd
2 1 1
direct
0.000 0.000 0.204
0.000 0.000 0.796
0.500 0.500 0.500
0.500 0.500 0.000

=====

(2)
AcLu2Cd (PBE-GGA, relaxed); space group = Fm-3m
1.0
-3.145 4.114 2.026
-2.510 -0.587 4.927
1.753 2.941 4.381
Ac Lu Cd
1 2 1
direct
0.000 0.000 0.000
0.750 0.750 0.750
0.250 0.250 0.250
0.500 0.500 0.500

=====

On energetic grounds, (1) is preferred over the next structure by 0.241 eV/atom.

=====

(1)
AcLu2Cd (PBE-GGA, relaxed); space group = P4/mmm
1.0
-0.583 4.850 1.430
-4.860 -0.710 0.427
0.606 -1.316 4.712
Cd Lu Ac
1 2 1
direct
0.500 0.500 0.500
0.000 0.000 0.500
0.000 0.500 0.000
0.500 0.000 0.000

=====

(2)
AcLu2Cd (PBE-GGA, relaxed); space group = R-3m
1.0
-0.898 -3.269 1.039
1.998 -1.717 2.373
-6.148 2.924 9.940
Cd Lu Ac
1 2 1
direct
0.500 0.500 0.500
0.901 0.901 0.297
0.099 0.099 0.703
0.000 0.000 0.000

=====

On energetic grounds, (1) is preferred over the next structure by 0.163 eV/atom.

=====

(1)
Ac2LuCd (PBE-GGA, relaxed); space group = P4/mmm
1.0
4.027 0.000 0.000
0.000 4.027 0.000
0.000 0.000 8.819
Ac Cd Lu
2 1 1
direct
0.000 0.000 0.766
0.000 0.000 0.234
0.500 0.500 0.000
0.500 0.500 0.500

=====

(2)
Ac2LuCd (PBE-GGA, relaxed); space group = R-3m
1.0
3.750 0.000 0.000
1.875 3.248 0.000
1.875 1.083 12.814
Cd Ac Lu
1 2 1
direct
0.000 0.000 0.000
0.909 0.909 0.272
0.091 0.091 0.728
0.500 0.500 0.500

=====

On energetic grounds, (1) is preferred over the next structure by 0.303 eV/atom.

=====

(1)
AcLuCd (PBE-GGA, relaxed); space group = P-6m2
1.0
-1.835 0.031 -3.502
1.319 -5.134 -0.736
-4.603 1.259 2.422
Lu Ac Cd
1 1 1
direct
0.166 0.000 0.000
0.666 0.667 0.333
0.167 0.333 0.667

=====

(2)
AcLuCd (PBE-GGA, relaxed); space group = I4mm
1.0
-0.099 -1.183 3.636
3.757 -0.706 -0.127
-0.612 7.049 0.265
Lu Cd Ac
1 1 1
direct
0.309 0.309 0.618
0.686 0.686 0.372
0.005 0.005 0.010

=====

On energetic grounds, (2) is preferred over the next structure by 0.075 eV/atom.

=====

(1)
AcMg2Cd2 (PBE-GGA, relaxed); space group = I4/mmm
1.0
0.349 3.701 -2.715
4.132 -1.439 -1.431
-5.082 -4.440 -2.803
Ac Mg Cd
1 2 2
direct
0.000 0.000 0.000
0.750 0.250 0.500
0.250 0.750 0.500
0.389 0.389 0.779
0.611 0.611 0.221

=====

(2)
AcMg2Cd2 (PBE-GGA, relaxed); space group = I4/mmm
1.0
4.678 0.000 0.000
0.000 4.678 0.000
-2.339 -2.339 12.637
Mg Ac Cd
4 2 4
direct
0.000 0.500 0.000
0.500 0.000 0.000
0.183 0.183 0.366
0.817 0.817 0.634
0.626 0.626 0.252
0.374 0.374 0.748
0.750 0.250 0.500
0.929 0.929 0.857
0.250 0.750 0.500
0.071 0.071 0.143

=====

On energetic grounds, (1) is preferred over the next structure by 0.041 eV/atom.

=====

(1)
AcMg6Cd2 (PBE-GGA, relaxed); space group = P4/mmm
1.0
4.735 0.000 0.000
0.000 4.735 0.000
0.000 0.000 10.219
Mg Cd Ac
6 2 1
direct
0.000 0.500 0.299
0.500 0.000 0.299
0.000 0.000 0.500
0.500 0.500 0.500
0.500 0.000 0.701
0.000 0.500 0.701
0.500 0.500 0.862
0.500 0.500 0.138
0.000 0.000 0.000

=====

(2)
AcMg6Cd2 (PBE-GGA, relaxed); space group = Fd-3m
1.0
9.365 0.000 0.000
4.683 8.111 0.000
4.683 2.704 7.647
Cd Mg Ac
4 12 2
direct
0.125 0.125 0.625
0.625 0.125 0.125
0.125 0.125 0.125
0.125 0.625 0.125
0.011 0.489 0.489
0.239 0.761 0.761
0.761 0.239 0.239
0.011 0.011 0.489
0.489 0.011 0.011
0.489 0.011 0.489
0.011 0.489 0.011
0.239 0.761 0.239
0.489 0.489 0.011
0.761 0.761 0.239
0.761 0.239 0.761
0.239 0.239 0.761
0.750 0.750 0.750
0.500 0.500 0.500

=====

On energetic grounds, (1) is preferred over the next structure by 0.457 eV/atom.

=====

(1)
AcMg2Cd (PBE-GGA, relaxed); space group = P4/mmm
1.0
5.210 0.000 0.000
0.000 4.788 0.000
0.000 0.000 4.788
Cd Mg Ac
1 2 1
direct
0.500 0.000 0.000
0.000 0.000 0.500
0.000 0.500 0.000
0.500 0.500 0.500

=====

(2)
AcMg2Cd (PBE-GGA, relaxed); space group = Pnma
1.0
-1.472 -4.536 -4.040
5.147 2.977 -5.217
13.370 -10.667 7.105
Mg Cd Ac
16 8 8
direct
0.042 0.557 0.784
0.771 0.943 0.533
0.542 0.443 0.716
0.229 0.443 0.467
0.729 0.943 0.033
0.958 0.443 0.216
0.542 0.057 0.716
0.729 0.557 0.033
0.771 0.557 0.533
0.271 0.057 0.967
0.958 0.057 0.216
0.229 0.057 0.467
0.458 0.557 0.284
0.271 0.443 0.967
0.042 0.943 0.784
0.458 0.943 0.284
0.981 0.250 0.072
0.519 0.250 0.572
0.281 0.250 0.823
0.019 0.750 0.928
0.481 0.750 0.428
0.219 0.250 0.323
0.719 0.750 0.177
0.781 0.750 0.677
0.276 0.750 0.604
0.776 0.250 0.896
0.529 0.750 0.854
0.724 0.250 0.396
0.971 0.750 0.354
0.224 0.750 0.104
0.029 0.250 0.646
0.471 0.250 0.146

=====

(3)
AcMg2Cd (PBE-GGA, relaxed); space group = Fm-3m
1.0
5.372 0.000 0.000
2.686 4.653 0.000
2.686 1.551 4.386
Mg Cd Ac
2 1 1
direct
0.750 0.750 0.750
0.250 0.250 0.250
0.500 0.500 0.500
0.000 0.000 0.000

=====

On energetic grounds, (2) is preferred over the next structure by 0.077 eV/atom.

=====

(1)
AcMg3Cd2 (PBE-GGA, relaxed); space group = P6/mmm
1.0
4.860 0.000 0.000
0.000 9.233 -5.331
0.000 0.000 10.661
Ac Mg Cd
3 9 6
direct
0.000 0.333 0.667
0.000 0.667 0.333
0.500 0.000 0.000
0.000 0.704 0.000
0.000 0.000 0.296
0.500 0.500 0.500
0.000 0.000 0.704
0.500 0.500 0.000
0.000 0.296 0.296
0.000 0.296 0.000
0.500 0.000 0.500
0.000 0.704 0.704
0.500 0.620 0.810
0.500 0.380 0.190
0.500 0.810 0.620
0.500 0.190 0.810
0.500 0.810 0.190
0.500 0.190 0.380

=====

(2)
AcMg3Cd2 (PBE-GGA, relaxed); space group = P6_3/mmc
1.0
-3.036 3.656 -1.635
-1.490 -4.794 -0.228
-5.793 1.165 13.363
Ac Cd Mg
2 4 6
direct
0.000 0.000 0.250
0.000 0.000 0.750
0.667 0.333 0.121
0.667 0.333 0.379
0.333 0.667 0.621
0.333 0.667 0.879
0.000 0.000 0.000
0.333 0.667 0.408
0.000 0.000 0.500
0.667 0.333 0.908
0.333 0.667 0.092
0.667 0.333 0.592

=====

On energetic grounds, (1) is preferred over the next structure by 0.012 eV/atom.